Computed, not measured: a geometry-optimized KRe2B4 structure at the PBE level of DFT.

Cell and atoms, written as CIF:
```
data_KRe2B4
_chemical_formula_sum 'K1 Re2 B4'
_cell_length_a 6.609
_cell_length_b 6.609
_cell_length_c 6.609
_cell_angle_alpha 144.25
_cell_angle_beta 144.25
_cell_angle_gamma 51.45
_symmetry_space_group_name_H-M 'P 1'
_symmetry_Int_Tables_number 1
loop_
_symmetry_equiv_pos_as_xyz
'x,y,z'
loop_
_atom_site_label
_atom_site_fract_x
_atom_site_fract_y
_atom_site_fract_z
_atom_site_occupancy
K1 0.000 0.000 0.000 1
Re1 0.391 0.391 0.000 1
Re2 0.609 0.609 0.000 1
B1 0.000 0.500 0.500 1
B2 0.219 0.219 0.000 1
B3 0.500 0.000 0.500 1
B4 0.781 0.781 0.000 1
```

## Properties
Energy of formation from the pure elements in eV per formula unit: 17.159
Crystal system: tetragonal
D(E_F) in states/eV/atom: 0.70
Space-group type: No. 139
Energy in eV/atom: -5.08